#A
# Er2Al5Au3, optimized geometry, DFT PBE-GGA
data_Er2Al5Au3
_symmetry_space_group_name_H-M 'P 1'
_symmetry_Int_Tables_number 1
_symmetry_space_group_name_Hall 'P 1'
_cell_length_a 8.6017
_cell_length_b 8.6017
_cell_length_c 8.6017
_cell_angle_alpha 100.43
_cell_angle_beta 93.67
_cell_angle_gamma 139.01
loop_
_atom_site_label
_atom_site_fract_x
_atom_site_fract_y
_atom_site_fract_z
_atom_site_occupancy
Er1 0.1292 0.2406 0.3699 1
Er2 0.3708 0.7406 0.1114 1
Er3 0.6292 0.2594 0.8886 1
Er4 0.8708 0.7594 0.6301 1
Al1 0.0061 0.7500 0.2561 1
Al2 0.1146 0.6444 0.7590 1
Al3 0.2500 0.2500 0.0000 1
Al4 0.3854 0.1444 0.5298 1
Al5 0.4939 0.7500 0.7439 1
Al6 0.5061 0.2500 0.2561 1
Al7 0.6146 0.8556 0.4702 1
Al8 0.7500 0.7500 0.0000 1
Al9 0.8854 0.3556 0.2410 1
Al10 0.9939 0.2500 0.7439 1
Au1 0.1289 0.8670 0.9958 1
Au2 0.2500 0.7500 0.5000 1
Au3 0.3711 0.3670 0.7381 1
Au4 0.6289 0.6330 0.2619 1
Au5 0.7500 0.2500 0.5000 1
Au6 0.8711 0.1330 0.0042 1
# Density of states at the Fermi level = 3.80 states/eV/f.u.
# Total moment = 0.000 μB per atom



#B
# Er2Al5Au3, optimized geometry, DFT PBE-GGA
data_Er2Al5Au3
_symmetry_space_group_name_H-M 'P 1'
_symmetry_Int_Tables_number 1
_symmetry_space_group_name_Hall 'P 1'
_cell_length_a 12.7418
_cell_length_b 12.7418
_cell_length_c 6.9732
_cell_angle_alpha 90.00
_cell_angle_beta 90.00
_cell_angle_gamma 160.38
loop_
_atom_site_label
_atom_site_fract_x
_atom_site_fract_y
_atom_site_fract_z
_atom_site_occupancy
Er1 0.0186 0.9814 0.5000 1
Er2 0.3261 0.6739 0.5181 1
Er3 0.6739 0.3261 0.0181 1
Er4 0.9814 0.0186 0.0000 1
Al1 0.1023 0.8977 0.8510 1
Al2 0.2075 0.7925 0.3303 1
Al3 0.2082 0.7918 0.7334 1
Al4 0.3790 0.6210 0.9951 1
Al5 0.4472 0.5528 0.6704 1
Al6 0.5528 0.4472 0.1704 1
Al7 0.6210 0.3790 0.4951 1
Al8 0.7918 0.2082 0.2334 1
Al9 0.7925 0.2075 0.8303 1
Al10 0.8977 0.1023 0.3510 1
Au1 0.1087 0.8913 0.2404 1
Au2 0.2742 0.7258 0.0341 1
Au3 0.4500 0.5500 0.2828 1
Au4 0.5500 0.4500 0.7828 1
Au5 0.7258 0.2742 0.5341 1
Au6 0.8913 0.1087 0.7404 1
# Density of states at the Fermi level = 3.64 states/eV/f.u.
# Total moment = 0.000 μB per atom



Here are the energies relative to the best structure, in kJ/mol of atoms: #A 1.9; #B 0.0.



#A
# ErAl3Au, optimized geometry, DFT PBE-GGA
data_ErAl3Au
_symmetry_space_group_name_H-M 'P 1'
_symmetry_Int_Tables_number 1
_symmetry_space_group_name_Hall 'P 1'
_cell_length_a 6.4179
_cell_length_b 6.4179
_cell_length_c 5.8360
_cell_angle_alpha 90.00
_cell_angle_beta 90.00
_cell_angle_gamma 125.81
loop_
_atom_site_label
_atom_site_fract_x
_atom_site_fract_y
_atom_site_fract_z
_atom_site_occupancy
Er1 0.2461 0.7539 0.7500 1
Er2 0.7539 0.2461 0.2500 1
Al1 0.1461 0.8539 0.2500 1
Al2 0.2481 0.2481 0.0000 1
Al3 0.2481 0.2481 0.5000 1
Al4 0.7519 0.7519 0.0000 1
Al5 0.7519 0.7519 0.5000 1
Al6 0.8539 0.1461 0.7500 1
Au1 0.3620 0.6380 0.2500 1
Au2 0.6380 0.3620 0.7500 1
# Density of states at the Fermi level = 1.17 states/eV/f.u.
# Total moment = 0.000 μB per atom



#B
# ErAl3Au, optimized geometry, DFT PBE-GGA
data_ErAl3Au
_symmetry_space_group_name_H-M 'P 1'
_symmetry_Int_Tables_number 1
_symmetry_space_group_name_Hall 'P 1'
_cell_length_a 8.4018
_cell_length_b 4.2108
_cell_length_c 10.9772
_cell_angle_alpha 90.00
_cell_angle_beta 90.00
_cell_angle_gamma 90.00
loop_
_atom_site_label
_atom_site_fract_x
_atom_site_fract_y
_atom_site_fract_z
_atom_site_occupancy
Er1 0.1801 0.2500 0.0061 1
Er2 0.3199 0.7500 0.5061 1
Er3 0.6801 0.2500 0.4939 1
Er4 0.8199 0.7500 0.9939 1
Al1 0.0737 0.2500 0.5964 1
Al2 0.1030 0.7500 0.8062 1
Al3 0.1334 0.7500 0.2076 1
Al4 0.3666 0.2500 0.7076 1
Al5 0.3970 0.2500 0.3062 1
Al6 0.4263 0.7500 0.0964 1
Al7 0.5737 0.2500 0.9036 1
Al8 0.6030 0.7500 0.6938 1
Al9 0.6334 0.7500 0.2924 1
Al10 0.8666 0.2500 0.7924 1
Al11 0.8970 0.2500 0.1938 1
Al12 0.9263 0.7500 0.4036 1
Au1 0.1049 0.2500 0.3614 1
Au2 0.3951 0.7500 0.8614 1
Au3 0.6049 0.2500 0.1386 1
Au4 0.8951 0.7500 0.6386 1
# Density of states at the Fermi level = 1.47 states/eV/f.u.
# Total moment = 0.003 μB per atom



Here are the energies relative to the best structure, in kJ/mol of atoms: #A 0.0; #B 7.6.



#A
# ErAl4Au8, optimized geometry, DFT PBE-GGA
data_ErAl4Au8
_symmetry_space_group_name_H-M 'P 1'
_symmetry_Int_Tables_number 1
_symmetry_space_group_name_Hall 'P 1'
_cell_length_a 7.3713
_cell_length_b 7.3713
_cell_length_c 7.3713
_cell_angle_alpha 56.42
_cell_angle_beta 56.42
_cell_angle_gamma 56.42
loop_
_atom_site_label
_atom_site_fract_x
_atom_site_fract_y
_atom_site_fract_z
_atom_site_occupancy
Er1 0.0000 0.0000 0.0000 1
Al1 0.0000 0.5000 0.5000 1
Al2 0.5000 0.0000 0.5000 1
Al3 0.5000 0.5000 0.0000 1
Al4 0.5000 0.5000 0.5000 1
Au1 0.1664 0.7413 0.7413 1
Au2 0.2493 0.2493 0.2493 1
Au3 0.2587 0.2587 0.8336 1
Au4 0.2587 0.8336 0.2587 1
Au5 0.7413 0.1664 0.7413 1
Au6 0.7413 0.7413 0.1664 1
Au7 0.7507 0.7507 0.7507 1
Au8 0.8336 0.2587 0.2587 1
# Density of states at the Fermi level = 5.73 states/eV/f.u.
# Total moment = 0.000 μB per atom



#B
# ErAl4Au8, optimized geometry, DFT PBE-GGA
data_ErAl4Au8
_symmetry_space_group_name_H-M 'P 1'
_symmetry_Int_Tables_number 1
_symmetry_space_group_name_Hall 'P 1'
_cell_length_a 7.0588
_cell_length_b 7.0588
_cell_length_c 7.0588
_cell_angle_alpha 99.05
_cell_angle_beta 99.05
_cell_angle_gamma 133.28
loop_
_atom_site_label
_atom_site_fract_x
_atom_site_fract_y
_atom_site_fract_z
_atom_site_occupancy
Er1 0.0000 0.0000 0.0000 1
Al1 0.0000 0.0000 0.5000 1
Al2 0.0000 0.5000 0.0000 1
Al3 0.5000 0.0000 0.0000 1
Al4 0.5000 0.5000 0.5000 1
Au1 0.0000 0.3204 0.3204 1
Au2 0.0000 0.6796 0.6796 1
Au3 0.2800 0.5000 0.7800 1
Au4 0.3204 0.0000 0.3204 1
Au5 0.5000 0.2800 0.7800 1
Au6 0.5000 0.7200 0.2200 1
Au7 0.6796 0.0000 0.6796 1
Au8 0.7200 0.5000 0.2200 1
# Density of states at the Fermi level = 6.39 states/eV/f.u.
# Total moment = 0.000 μB per atom



Here are the energies relative to the best structure, in kJ/mol of atoms: #A 26.6; #B 0.0.



#A
# Al3AuF, optimized geometry, DFT PBE-GGA
data_Al3AuF
_symmetry_space_group_name_H-M 'P 1'
_symmetry_Int_Tables_number 1
_symmetry_space_group_name_Hall 'P 1'
_cell_length_a 4.4305
_cell_length_b 4.4305
_cell_length_c 4.4305
_cell_angle_alpha 90.00
_cell_angle_beta 90.00
_cell_angle_gamma 90.00
loop_
_atom_site_label
_atom_site_fract_x
_atom_site_fract_y
_atom_site_fract_z
_atom_site_occupancy
Al1 0.0000 0.0000 0.5000 1
Al2 0.0000 0.5000 0.0000 1
Al3 0.5000 0.0000 0.0000 1
Au1 0.5000 0.5000 0.5000 1
F1 0.0000 0.0000 0.0000 1
# Density of states at the Fermi level = 2.03 states/eV/f.u.
# Total moment = 0.000 μB per atom



#B
# Al3AuF, optimized geometry, DFT PBE-GGA
data_Al3AuF
_symmetry_space_group_name_H-M 'P 1'
_symmetry_Int_Tables_number 1
_symmetry_space_group_name_Hall 'P 1'
_cell_length_a 4.8579
_cell_length_b 4.8579
_cell_length_c 4.8579
_cell_angle_alpha 90.00
_cell_angle_beta 90.00
_cell_angle_gamma 90.00
loop_
_atom_site_label
_atom_site_fract_x
_atom_site_fract_y
_atom_site_fract_z
_atom_site_occupancy
Al1 0.0000 0.0000 0.5000 1
Al2 0.0000 0.5000 0.0000 1
Al3 0.5000 0.0000 0.0000 1
Au1 0.0000 0.0000 0.0000 1
F1 0.5000 0.5000 0.5000 1
# Density of states at the Fermi level = 2.86 states/eV/f.u.
# Total moment = 0.000 μB per atom



Here are the energies relative to the best structure, in kJ/mol of atoms: #A 0.0; #B 0.8.



#A
# AlAu2F2, optimized geometry, DFT PBE-GGA
data_AlAu2F2
_symmetry_space_group_name_H-M 'P 1'
_symmetry_Int_Tables_number 1
_symmetry_space_group_name_Hall 'P 1'
_cell_length_a 6.4030
_cell_length_b 6.4030
_cell_length_c 6.4030
_cell_angle_alpha 147.50
_cell_angle_beta 147.50
_cell_angle_gamma 46.63
loop_
_atom_site_label
_atom_site_fract_x
_atom_site_fract_y
_atom_site_fract_z
_atom_site_occupancy
Al1 0.0000 0.0000 0.0000 1
Au1 0.3896 0.3896 0.0000 1
Au2 0.6104 0.6104 0.0000 1
F1 0.2500 0.7500 0.5000 1
F2 0.7500 0.2500 0.5000 1
# Density of states at the Fermi level = 1.56 states/eV/f.u.
# Total moment = 0.000 μB per atom



#B
# AlAu2F2, optimized geometry, DFT PBE-GGA
data_AlAu2F2
_symmetry_space_group_name_H-M 'P 1'
_symmetry_Int_Tables_number 1
_symmetry_space_group_name_Hall 'P 1'
_cell_length_a 7.5046
_cell_length_b 7.5046
_cell_length_c 2.8254
_cell_angle_alpha 90.00
_cell_angle_beta 90.00
_cell_angle_gamma 90.00
loop_
_atom_site_label
_atom_site_fract_x
_atom_site_fract_y
_atom_site_fract_z
_atom_site_occupancy
Al1 0.0000 0.0000 0.0000 1
Al2 0.5000 0.5000 0.0000 1
Au1 0.1249 0.3751 0.0000 1
Au2 0.3751 0.8751 0.0000 1
Au3 0.6249 0.1249 0.0000 1
Au4 0.8751 0.6249 0.0000 1
F1 0.1909 0.6909 0.5000 1
F2 0.3091 0.1909 0.5000 1
F3 0.6909 0.8091 0.5000 1
F4 0.8091 0.3091 0.5000 1
# Density of states at the Fermi level = 0.93 states/eV/f.u.
# Total moment = 0.000 μB per atom



Here are the energies relative to the best structure, in kJ/mol of atoms: #A 0.0; #B 22.3.



#A
# AlAuNF2, optimized geometry, DFT PBE-GGA
data_AlAuNF2
_symmetry_space_group_name_H-M 'P 1'
_symmetry_Int_Tables_number 1
_symmetry_space_group_name_Hall 'P 1'
_cell_length_a 3.5680
_cell_length_b 3.5680
_cell_length_c 4.3960
_cell_angle_alpha 90.00
_cell_angle_beta 90.00
_cell_angle_gamma 90.00
loop_
_atom_site_label
_atom_site_fract_x
_atom_site_fract_y
_atom_site_fract_z
_atom_site_occupancy
Al1 0.0000 0.0000 0.0000 1
Au1 0.5000 0.5000 0.5000 1
N1 0.0000 0.0000 0.5000 1
F1 0.0000 0.5000 0.0000 1
F2 0.5000 0.0000 0.0000 1
# Density of states at the Fermi level = 0.51 states/eV/f.u.
# Total moment = 0.000 μB per atom



#B
# AlAuNF2, optimized geometry, DFT PBE-GGA
data_AlAuNF2
_symmetry_space_group_name_H-M 'P 1'
_symmetry_Int_Tables_number 1
_symmetry_space_group_name_Hall 'P 1'
_cell_length_a 4.7543
_cell_length_b 4.7543
_cell_length_c 3.7631
_cell_angle_alpha 90.00
_cell_angle_beta 90.00
_cell_angle_gamma 90.00
loop_
_atom_site_label
_atom_site_fract_x
_atom_site_fract_y
_atom_site_fract_z
_atom_site_occupancy
Al1 0.0000 0.0000 0.0000 1
Au1 0.5000 0.5000 0.5000 1
N1 0.5000 0.5000 0.0000 1
F1 0.0000 0.5000 0.5000 1
F2 0.5000 0.0000 0.5000 1
# Density of states at the Fermi level = 2.42 states/eV/f.u.
# Total moment = 0.071 μB per atom



Here are the energies relative to the best structure, in kJ/mol of atoms: #A 0.0; #B 124.1.